# PBE NbFe, optimized geometry
data_NbFe
_cell_length_a 6.6624
_cell_length_b 6.6624
_cell_length_c 6.6624
_cell_angle_alpha 90.00
_cell_angle_beta 90.00
_cell_angle_gamma 90.00
_symmetry_space_group_name_H-M 'P 1'
_symmetry_Int_Tables_number 1
_symmetry_space_group_name_Hall 'P 1'
loop_
_atom_site_label
_atom_site_type_symbol
_atom_site_fract_x
_atom_site_fract_y
_atom_site_fract_z
Nb1 Nb 0.0000 0.2500 0.5000
Nb2 Nb 0.0000 0.7500 0.5000
Nb3 Nb 0.2500 0.5000 0.0000
Nb4 Nb 0.5000 0.0000 0.2500
Nb5 Nb 0.5000 0.0000 0.7500
Nb6 Nb 0.7500 0.5000 0.0000
Fe1 Fe 0.0000 0.5000 0.2500
Fe2 Fe 0.0000 0.5000 0.7500
Fe3 Fe 0.2500 0.0000 0.5000
Fe4 Fe 0.5000 0.2500 0.0000
Fe5 Fe 0.5000 0.7500 0.0000
Fe6 Fe 0.7500 0.0000 0.5000
# E_form (eV per atom): 1.73
# Symmetry: Pm-3n (223)



# PBE Ce2ThSnN, optimized geometry
data_Ce2ThSnN
_cell_length_a 4.9318
_cell_length_b 4.9318
_cell_length_c 4.9343
_cell_angle_alpha 90.00
_cell_angle_beta 90.00
_cell_angle_gamma 90.00
_symmetry_space_group_name_H-M 'P 1'
_symmetry_Int_Tables_number 1
_symmetry_space_group_name_Hall 'P 1'
loop_
_atom_site_label
_atom_site_type_symbol
_atom_site_fract_x
_atom_site_fract_y
_atom_site_fract_z
Ce1 Ce 0.0000 0.5000 0.0000
Ce2 Ce 0.5000 0.0000 0.0000
Th1 Th 0.0000 0.0000 0.5000
Sn1 Sn 0.5000 0.5000 0.5000
N1 N 0.0000 0.0000 0.0000
# Calculated total energy (eV for the cell shown): -36.3
# Symmetry: P4/mmm (123)



# PBE La4IrBr5, optimized geometry
data_La4IrBr5
_cell_length_a 9.9200
_cell_length_b 9.9200
_cell_length_c 8.9110
_cell_angle_alpha 104.89
_cell_angle_beta 104.89
_cell_angle_gamma 24.63
_symmetry_space_group_name_H-M 'P 1'
_symmetry_Int_Tables_number 1
_symmetry_space_group_name_Hall 'P 1'
loop_
_atom_site_label
_atom_site_type_symbol
_atom_site_fract_x
_atom_site_fract_y
_atom_site_fract_z
La1 La 0.0014 0.0014 0.2824
La2 La 0.3476 0.3476 0.4021
La3 La 0.6524 0.6524 0.5979
La4 La 0.9986 0.9986 0.7176
Ir1 Ir 0.5000 0.5000 0.5000
Br1 Br 0.1673 0.1673 0.8520
Br2 Br 0.1737 0.1737 0.3529
Br3 Br 0.5000 0.5000 0.0000
Br4 Br 0.8262 0.8262 0.6471
Br5 Br 0.8327 0.8327 0.1480
# Calculated total energy (eV for the cell shown): -52.8
# Symmetry: C2/m (12)



# PBE Ce2Fe2Si2C, optimized geometry
data_Ce2Fe2Si2C
_cell_length_a 5.6708
_cell_length_b 5.6708
_cell_length_c 7.0226
_cell_angle_alpha 127.42
_cell_angle_beta 127.42
_cell_angle_gamma 40.93
_symmetry_space_group_name_H-M 'P 1'
_symmetry_Int_Tables_number 1
_symmetry_space_group_name_Hall 'P 1'
loop_
_atom_site_label
_atom_site_type_symbol
_atom_site_fract_x
_atom_site_fract_y
_atom_site_fract_z
Ce1 Ce 0.0634 0.0634 0.3284
Ce2 Ce 0.9366 0.9366 0.6716
Fe1 Fe 0.3036 0.3036 0.1881
Fe2 Fe 0.6964 0.6964 0.8119
Si1 Si 0.3359 0.3359 0.8909
Si2 Si 0.6641 0.6641 0.1091
C1 C 0.5000 0.5000 0.5000
# Calculated total energy (eV for the cell shown): -53.1
# Symmetry: C2/m (12)